LiHgPt2: optimized geometry, GGA-PBE.

Density, Mg/m³: 15.9
Formation energy from the elements, meV/atom: -212.1
VASP energy, eV per cell: -15.15

Unit cell a=3.040 b=3.040 c=6.763 alpha=90.00 beta=90.00 gamma=90.00
Element x y z (fractional)
Hg  0.500  0.500  0.250
Li  0.500  0.500  0.750
Pt  0.000  0.000  0.538
Pt  0.000  0.000  0.962